No. 1
# TaPdAu2 PBE-GGA relaxed
data_TaPdAu2
_cell_length_a 3.782
_cell_length_b 6.130
_cell_length_c 6.611
_cell_angle_alpha 115.68
_cell_angle_beta 90.00
_cell_angle_gamma 90.00
_symmetry_space_group_name_H-M 'P 1'
_symmetry_Int_Tables_number 1
_symmetry_space_group_name_Hall 'P 1'
loop_
_atom_site_label
_atom_site_type_symbol
_atom_site_fract_x
_atom_site_fract_y
_atom_site_fract_z
Au1 Au 0.750 0.071 0.879
Au2 Au 0.250 0.929 0.121
Ta1 Ta 0.250 0.707 0.622
Pd1 Pd 0.250 0.182 0.609
Au3 Au 0.250 0.448 0.146
Ta2 Ta 0.750 0.293 0.378
Pd2 Pd 0.750 0.818 0.391
Au4 Au 0.750 0.552 0.854
# **Spin magnetization**: 0.0 μB per cell
# **SG**: P2_1/m (11)
# **N(E_F)**: 5.7 states/eV per cell
# **Distance to the lowest polymorph of the same formula**: 0 meV per atom
# **Energy of formation from the pure elements**: -0.1483 eV/atom


No. 2
# TaPd4Au2 PBE-GGA relaxed
data_TaPd4Au2
_cell_length_a 7.049
_cell_length_b 7.051
_cell_length_c 7.059
_cell_angle_alpha 122.25
_cell_angle_beta 121.34
_cell_angle_gamma 86.79
_symmetry_space_group_name_H-M 'P 1'
_symmetry_Int_Tables_number 1
_symmetry_space_group_name_Hall 'P 1'
loop_
_atom_site_label
_atom_site_type_symbol
_atom_site_fract_x
_atom_site_fract_y
_atom_site_fract_z
Pd1 Pd 0.017 0.745 0.895
Ta1 Ta 0.156 0.156 0.999
Pd2 Pd 0.741 0.875 0.560
Pd3 Pd 0.376 0.031 0.761
Au1 Au 0.639 0.400 0.341
Au2 Au 0.057 0.297 0.658
Pd4 Pd 0.315 0.182 0.440
Au3 Au 0.779 0.356 0.871
Pd5 Pd 0.541 0.644 0.719
Pd6 Pd 0.269 0.614 0.238
Ta2 Ta 0.097 0.596 0.500
Au4 Au 0.486 0.909 0.130
Pd7 Pd 0.926 0.822 0.282
Pd8 Pd 0.850 0.122 0.105
# **Spin magnetization**: 0.0 μB per cell
# **SG**: P1 (1)
# **N(E_F)**: 6.4 states/eV per cell
# **Distance to the lowest polymorph of the same formula**: 0 meV per atom
# **Energy of formation from the pure elements**: -0.1649 eV/atom


No. 3
# Ta2Pd7Au2 PBE-GGA relaxed
data_Ta2Pd7Au2
_cell_length_a 5.404
_cell_length_b 7.340
_cell_length_c 5.404
_cell_angle_alpha 90.00
_cell_angle_beta 96.50
_cell_angle_gamma 90.00
_symmetry_space_group_name_H-M 'P 1'
_symmetry_Int_Tables_number 1
_symmetry_space_group_name_Hall 'P 1'
loop_
_atom_site_label
_atom_site_type_symbol
_atom_site_fract_x
_atom_site_fract_y
_atom_site_fract_z
Pd1 Pd 0.500 0.277 0.000
Au1 Au 0.675 0.000 0.325
Pd2 Pd 0.000 0.277 0.500
Pd3 Pd 0.000 0.000 0.000
Pd4 Pd 0.000 0.723 0.500
Pd5 Pd 0.500 0.723 0.000
Ta1 Ta 0.800 0.500 0.800
Au2 Au 0.325 0.000 0.675
Ta2 Ta 0.200 0.500 0.200
Pd6 Pd 0.500 0.309 0.500
Pd7 Pd 0.500 0.691 0.500
# **Spin magnetization**: 0.0 μB per cell
# **SG**: Cmmm (65)
# **N(E_F)**: 4.7 states/eV per cell
# **Energy of formation from the pure elements**: 0.2420 eV/atom


No. 4
# TaPd4Au2 PBE-GGA relaxed
data_TaPd4Au2
_cell_length_a 3.980
_cell_length_b 3.980
_cell_length_c 8.263
_cell_angle_alpha 103.94
_cell_angle_beta 103.94
_cell_angle_gamma 90.00
_symmetry_space_group_name_H-M 'P 1'
_symmetry_Int_Tables_number 1
_symmetry_space_group_name_Hall 'P 1'
loop_
_atom_site_label
_atom_site_type_symbol
_atom_site_fract_x
_atom_site_fract_y
_atom_site_fract_z
Ta1 Ta 0.000 0.000 0.000
Au1 Au 0.745 0.745 0.491
Au2 Au 0.255 0.255 0.509
Pd1 Pd 0.110 0.610 0.219
Pd2 Pd 0.610 0.110 0.219
Pd3 Pd 0.890 0.390 0.781
Pd4 Pd 0.390 0.890 0.781
# **Spin magnetization**: 0.0 μB per cell
# **SG**: I4/mmm (139)
# **N(E_F)**: 4.3 states/eV per cell
# **Distance to the lowest polymorph of the same formula**: 53 meV per atom
# **Energy of formation from the pure elements**: -0.1122 eV/atom


No. 5
# Ta2Pd4Au PBE-GGA relaxed
data_Ta2Pd4Au
_cell_length_a 6.998
_cell_length_b 7.014
_cell_length_c 8.132
_cell_angle_alpha 141.04
_cell_angle_beta 100.35
_cell_angle_gamma 93.85
_symmetry_space_group_name_H-M 'P 1'
_symmetry_Int_Tables_number 1
_symmetry_space_group_name_Hall 'P 1'
loop_
_atom_site_label
_atom_site_type_symbol
_atom_site_fract_x
_atom_site_fract_y
_atom_site_fract_z
Ta1 Ta 0.172 0.238 0.637
Pd1 Pd 0.382 0.834 0.437
Au1 Au 0.959 0.673 0.432
Pd2 Pd 0.943 0.502 0.997
Pd3 Pd 0.711 0.938 0.777
Ta2 Ta 0.592 0.277 0.264
Pd4 Pd 0.513 0.374 0.001
Pd5 Pd 0.307 0.915 0.160
Pd6 Pd 0.315 0.639 0.640
Ta3 Ta 0.588 0.535 0.794
Ta4 Ta 0.729 0.979 0.414
Pd7 Pd 0.930 0.074 0.208
Pd8 Pd 0.935 0.577 0.708
Au2 Au 0.173 0.193 0.031
# **Spin magnetization**: 0.0 μB per cell
# **SG**: P1 (1)
# **N(E_F)**: 10.0 states/eV per cell
# **Energy of formation from the pure elements**: -0.2062 eV/atom


No. 6
# TaPdAu3 PBE-GGA relaxed
data_TaPdAu3
_cell_length_a 4.564
_cell_length_b 5.539
_cell_length_c 8.348
_cell_angle_alpha 109.38
_cell_angle_beta 90.00
_cell_angle_gamma 90.00
_symmetry_space_group_name_H-M 'P 1'
_symmetry_Int_Tables_number 1
_symmetry_space_group_name_Hall 'P 1'
loop_
_atom_site_label
_atom_site_type_symbol
_atom_site_fract_x
_atom_site_fract_y
_atom_site_fract_z
Au1 Au 0.250 0.246 0.251
Pd1 Pd 0.750 0.465 0.723
Ta1 Ta 0.750 0.584 0.429
Au2 Au 0.250 0.685 0.627
Ta2 Ta 0.250 0.156 0.571
Au3 Au 0.750 0.996 0.749
Au4 Au 0.750 0.058 0.373
Pd2 Pd 0.250 0.742 0.277
Au5 Au 0.750 0.458 0.091
Au6 Au 0.250 0.367 0.909
# **Spin magnetization**: 0.0 μB per cell
# **SG**: Ama2 (40)
# **N(E_F)**: 6.2 states/eV per cell
# **Distance to the lowest polymorph of the same formula**: 0 meV per atom
# **Energy of formation from the pure elements**: 0.0228 eV/atom


No. 7
# TaPdAu2 PBE-GGA relaxed
data_TaPdAu2
_cell_length_a 2.942
_cell_length_b 2.942
_cell_length_c 7.916
_cell_angle_alpha 90.00
_cell_angle_beta 90.00
_cell_angle_gamma 90.00
_symmetry_space_group_name_H-M 'P 1'
_symmetry_Int_Tables_number 1
_symmetry_space_group_name_Hall 'P 1'
loop_
_atom_site_label
_atom_site_type_symbol
_atom_site_fract_x
_atom_site_fract_y
_atom_site_fract_z
Au1 Au 0.000 0.000 0.751
Ta1 Ta 0.500 0.500 0.500
Au2 Au 0.000 0.000 0.249
Pd1 Pd 0.500 0.500 0.000
# **Spin magnetization**: 0.0 μB per cell
# **SG**: P4/mmm (123)
# **N(E_F)**: 2.9 states/eV per cell
# **Distance to the lowest polymorph of the same formula**: 42 meV per atom
# **Energy of formation from the pure elements**: -0.1058 eV/atom


No. 8
# TbPd3Au2 PBE-GGA relaxed
data_TbPd3Au2
_cell_length_a 4.124
_cell_length_b 8.289
_cell_length_c 7.891
_cell_angle_alpha 122.46
_cell_angle_beta 105.15
_cell_angle_gamma 90.00
_symmetry_space_group_name_H-M 'P 1'
_symmetry_Int_Tables_number 1
_symmetry_space_group_name_Hall 'P 1'
loop_
_atom_site_label
_atom_site_type_symbol
_atom_site_fract_x
_atom_site_fract_y
_atom_site_fract_z
Pd1 Pd 0.420 0.542 0.839
Au1 Au 0.246 0.620 0.492
Pd2 Pd 0.915 0.301 0.831
Au2 Au 0.754 0.380 0.508
Tb1 Tb 0.595 0.944 0.189
Pd3 Pd 0.085 0.699 0.169
Au3 Au 0.918 0.786 0.837
Tb2 Tb 0.405 0.056 0.811
Pd4 Pd 0.252 0.137 0.504
Pd5 Pd 0.580 0.458 0.161
Pd6 Pd 0.748 0.863 0.496
Au4 Au 0.082 0.214 0.163
# **Spin magnetization**: 0.0 μB per cell
# **SG**: C2/m (12)
# **N(E_F)**: 5.4 states/eV per cell
# **Distance to the lowest polymorph of the same formula**: 101 meV per atom
# **Energy of formation from the pure elements**: -0.5178 eV/atom


No. 9
# TbPd3Au PBE-GGA relaxed
data_TbPd3Au
_cell_length_a 7.246
_cell_length_b 7.246
_cell_length_c 7.246
_cell_angle_alpha 90.00
_cell_angle_beta 90.00
_cell_angle_gamma 90.00
_symmetry_space_group_name_H-M 'P 1'
_symmetry_Int_Tables_number 1
_symmetry_space_group_name_Hall 'P 1'
loop_
_atom_site_label
_atom_site_type_symbol
_atom_site_fract_x
_atom_site_fract_y
_atom_site_fract_z
Pd1 Pd 0.590 0.626 0.338
Tb1 Tb 0.729 0.729 0.729
Pd2 Pd 0.838 0.910 0.374
Pd3 Pd 0.162 0.410 0.126
Tb2 Tb 0.771 0.271 0.229
Pd4 Pd 0.910 0.374 0.838
Au1 Au 0.486 0.986 0.514
Pd5 Pd 0.874 0.662 0.090
Tb3 Tb 0.271 0.229 0.771
Pd6 Pd 0.662 0.090 0.874
Au2 Au 0.986 0.514 0.486
Au3 Au 0.014 0.014 0.014
Pd7 Pd 0.090 0.874 0.662
Pd8 Pd 0.338 0.590 0.626
Pd9 Pd 0.626 0.338 0.590
Au4 Au 0.514 0.486 0.986
Pd10 Pd 0.126 0.162 0.410
Tb4 Tb 0.229 0.771 0.271
Pd11 Pd 0.410 0.126 0.162
Pd12 Pd 0.374 0.838 0.910
# **Spin magnetization**: 0.0 μB per cell
# **SG**: P2_13 (198)
# **N(E_F)**: 5.6 states/eV per cell
# **Distance to the lowest polymorph of the same formula**: 17 meV per atom
# **Energy of formation from the pure elements**: -0.5441 eV/atom


No. 10
# Tb2Pd5Au PBE-GGA relaxed
data_Tb2Pd5Au
_cell_length_a 4.204
_cell_length_b 5.839
_cell_length_c 11.672
_cell_angle_alpha 90.00
_cell_angle_beta 90.00
_cell_angle_gamma 90.00
_symmetry_space_group_name_H-M 'P 1'
_symmetry_Int_Tables_number 1
_symmetry_space_group_name_Hall 'P 1'
loop_
_atom_site_label
_atom_site_type_symbol
_atom_site_fract_x
_atom_site_fract_y
_atom_site_fract_z
Pd1 Pd 0.500 0.239 0.377
Au1 Au 0.000 0.000 0.500
Pd2 Pd 0.000 0.985 0.250
Tb1 Tb 0.500 0.766 0.870
Tb2 Tb 0.500 0.234 0.130
Au2 Au 0.000 0.500 0.000
Pd3 Pd 0.000 0.485 0.250
Pd4 Pd 0.500 0.761 0.623
Pd5 Pd 0.000 0.015 0.750
Tb3 Tb 0.500 0.734 0.370
Pd6 Pd 0.000 0.515 0.750
Pd7 Pd 0.500 0.739 0.123
Tb4 Tb 0.500 0.266 0.630
Pd8 Pd 0.500 0.261 0.877
Pd9 Pd 0.000 0.000 0.000
Pd10 Pd 0.000 0.500 0.500
# **Spin magnetization**: 0.0 μB per cell
# **SG**: Pbam (55)
# **N(E_F)**: 2.9 states/eV per cell
# **Distance to the lowest polymorph of the same formula**: 0 meV per atom
# **Energy of formation from the pure elements**: -0.8948 eV/atom


No. 11
# TbPd3Au3 PBE-GGA relaxed
data_TbPd3Au3
_cell_length_a 4.826
_cell_length_b 7.779
_cell_length_c 7.779
_cell_angle_alpha 120.00
_cell_angle_beta 90.00
_cell_angle_gamma 90.00
_symmetry_space_group_name_H-M 'P 1'
_symmetry_Int_Tables_number 1
_symmetry_space_group_name_Hall 'P 1'
loop_
_atom_site_label
_atom_site_type_symbol
_atom_site_fract_x
_atom_site_fract_y
_atom_site_fract_z
Au1 Au 0.250 0.368 0.457
Au2 Au 0.750 0.632 0.543
Tb1 Tb 0.750 0.333 0.667
Au3 Au 0.250 0.090 0.632
Pd1 Pd 0.750 0.195 0.235
Tb2 Tb 0.250 0.667 0.333
Au4 Au 0.250 0.543 0.910
Pd2 Pd 0.250 0.960 0.195
Au5 Au 0.750 0.910 0.368
Pd3 Pd 0.750 0.040 0.805
Pd4 Pd 0.250 0.235 0.040
Pd5 Pd 0.750 0.765 0.960
Au6 Au 0.750 0.457 0.090
Pd6 Pd 0.250 0.805 0.765
# **Spin magnetization**: 0.0 μB per cell
# **SG**: P6_3/m (176)
# **N(E_F)**: 5.4 states/eV per cell
# **Distance to the lowest polymorph of the same formula**: 0 meV per atom
# **Energy of formation from the pure elements**: -0.4777 eV/atom


No. 12
# TbPdAu3 PBE-GGA relaxed
data_TbPdAu3
_cell_length_a 4.955
_cell_length_b 5.626
_cell_length_c 7.445
_cell_angle_alpha 90.00
_cell_angle_beta 70.45
_cell_angle_gamma 90.00
_symmetry_space_group_name_H-M 'P 1'
_symmetry_Int_Tables_number 1
_symmetry_space_group_name_Hall 'P 1'
loop_
_atom_site_label
_atom_site_type_symbol
_atom_site_fract_x
_atom_site_fract_y
_atom_site_fract_z
Tb1 Tb 0.399 0.750 0.703
Au1 Au 0.807 0.501 0.886
Au2 Au 0.193 0.001 0.114
Pd1 Pd 0.372 0.250 0.755
Tb2 Tb 0.601 0.250 0.297
Pd2 Pd 0.628 0.750 0.245
Au3 Au 0.807 0.999 0.886
Au4 Au 0.020 0.750 0.464
Au5 Au 0.193 0.499 0.114
Au6 Au 0.980 0.250 0.536
# **Spin magnetization**: 0.0 μB per cell
# **SG**: P2_1/m (11)
# **N(E_F)**: 4.8 states/eV per cell
# **Distance to the lowest polymorph of the same formula**: 61 meV per atom
# **Energy of formation from the pure elements**: -0.5399 eV/atom